11
Lattice="2.935 -5.212 0.000 2.935 5.212 0.000 -0.687 0.000 6.201" Properties=species:S:1:pos:R:3 comment="Pm2MnAg2O6, optimized geometry, DFT PBE with a Hubbard U" final_energy_ev_per_atom=-6.6167 pbc="T T T"
Pm 2.935 3.528 0.000
Pm 2.935 -3.528 0.000
Mn 2.935 0.000 0.000
Ag 2.592 1.478 3.101
Ag 2.592 -1.478 3.101
O 0.560 0.000 5.249
O 2.130 1.510 1.061
O 3.053 1.510 5.141
O 2.130 -1.510 1.061
O 3.053 -1.510 5.141
O 4.624 0.000 0.952